1.
DFT (GGA-PBE) results for a relaxed structure of In2Os2O7.

The structure belongs to space group C2/m (No. 12); the cell edges are 6.627, 9.219 and 5.297 Å and the angles 90.00°, 96.78° and 90.00°. The distinct sites, in fractional coordinates, are In at (0.000, 0.202, 0.000), Os at (0.232, 0.000, 0.590), O at (0.000, 0.500, 0.500), O at (0.054, 0.000, 0.270) and O at (0.237, 0.329, 0.214).

2.
DFT (GGA-PBE) results for a relaxed structure of InOs2O4.

The structure belongs to space group Fd-3m (No. 227, origin choice 2); the cell edges are 9.011, 9.011 and 9.011 Å and the angles 90.00°, 90.00° and 90.00°. The distinct sites, in fractional coordinates, are In at (0.125, 0.125, 0.125), Os at (0.000, 0.000, 0.500) and O at (0.019, 0.019, 0.731).

3.
DFT (GGA-PBE) results for a relaxed structure of InOsO3.

The structure belongs to space group R-3 (No. 148, hexagonal axes); the cell edges are 5.3662, 5.3662 and 14.7985 Å and the angles 90.00°, 90.00° and 120.00°. The distinct sites, in fractional coordinates, are In at (0.0000, 0.0000, 0.1394), Os at (0.0000, 0.0000, 0.3434) and O at (0.0172, 0.7052, 0.2548).

no.,DFT total energy (Ry/atom),total magnetic moment (Bohr magnetons per cell)
1,-0.48272,0.059
2,-0.50344,16.162
3,-0.48345,6.194